[1]
Compound: SrAuCSe2
Source: Alexandria via LeMat-Bulk
Functional: GGA-PBE
Structure: optimized geometry

**Formation energy from raw total energies**: 146 meV/atom
**Total magnetic moment**: 0.0 μB/f.u.
**Crystal system**: tetragonal

abc: 5.4523 5.4523 3.9241
angles: 90.00 90.00 90.00
With the nearest neighbours (Å) after each atom.
Space group P4/mmm (No. 123)
One atom of each set of equivalent atoms:
Sr 0.0000 0.0000 0.0000  8 Se 3.36
Au 0.5000 0.5000 0.5000  2 C 1.96
C 0.5000 0.5000 0.0000  2 Au 1.96
Se 0.0000 0.5000 0.5000  2 Au 2.73



[2]
Compound: Th6AuC2Se3
Source: Alexandria via LeMat-Bulk
Functional: GGA-PBE
Structure: optimized geometry

**Formation energy from raw total energies**: -1005 meV/atom
**Total magnetic moment**: 0.0 μB/f.u.
**Crystal system**: monoclinic

abc: 18.2279 3.9709 8.4828
angles: 90.00 105.76 90.00
With the nearest neighbours (Å) after each atom.
Space group C2/m (No. 12)
One atom of each set of equivalent atoms:
Th 0.0250 0.0000 0.2640  1 C 2.59
Th 0.1738 0.5000 0.1334  2 C 2.64
Th 0.1778 0.5000 0.5614  3 C 2.63-2.73
Au 0.0000 0.5000 0.0000  6 Th 2.93-3.06
C 0.1725 0.0000 0.3372  6 Th 2.59-2.73
Se 0.0000 0.5000 0.5000  6 Th 2.94-3.14
Se 0.1584 0.0000 0.8357  6 Th 3.00-3.22



[3]
Compound: Si3AuC
Source: Alexandria via LeMat-Bulk
Functional: GGA-PBE
Structure: optimized geometry

**Formation energy from raw total energies**: 2188 meV/atom
**Total magnetic moment**: 0.4 μB/f.u.
**Crystal system**: cubic

abc: 4.8002 4.8002 4.8002
angles: 90.00 90.00 90.00
With the nearest neighbours (Å) after each atom.
Space group Pm-3m (No. 221)
One atom of each set of equivalent atoms:
Si 0.0000 0.0000 0.5000  2 Au 2.40
Au 0.0000 0.0000 0.0000  6 Si 2.40
C 0.5000 0.5000 0.5000  12 Si 3.39



[4]
Compound: Si3AuC
Source: Alexandria via LeMat-Bulk
Functional: GGA-PBE
Structure: optimized geometry

**Formation energy from raw total energies**: 761 meV/atom
**Total magnetic moment**: 0.0 μB/f.u.
**Crystal system**: cubic

abc: 4.0860 4.0860 4.0860
angles: 90.00 90.00 90.00
With the nearest neighbours (Å) after each atom.
Space group Pm-3m (No. 221)
One atom of each set of equivalent atoms:
Si 0.0000 0.0000 0.5000  2 C 2.04
Au 0.5000 0.5000 0.5000  12 Si 2.89
C 0.0000 0.0000 0.0000  6 Si 2.04



[5]
Compound: SiAu2C2
Source: Alexandria via LeMat-Bulk
Functional: GGA-PBE
Structure: optimized geometry

**Formation energy from raw total energies**: 2023 meV/atom
**Total magnetic moment**: 0.0 μB/f.u.
**Crystal system**: tetragonal

abc: 7.0143 7.0143 2.7982
angles: 90.00 90.00 90.00
With the nearest neighbours (Å) after each atom.
Space group P4/mbm (No. 127)
One atom of each set of equivalent atoms:
Si 0.0000 0.0000 0.0000  4 Au 2.63, 2 Si 2.80
Au 0.1608 0.3392 0.0000  6 C 2.40-2.55, 2 Si 2.63
C 0.1424 0.6424 0.5000  6 Au 2.40-2.55



[6]
Compound: SiAu2C2
Source: Alexandria via LeMat-Bulk
Functional: GGA-PBE
Structure: optimized geometry

**Formation energy from raw total energies**: 1902 meV/atom
**Total magnetic moment**: 0.0 μB/f.u.
**Crystal system**: tetragonal

abc: 3.5726 3.5726 11.1915
angles: 90.00 90.00 90.00
With the nearest neighbours (Å) after each atom.
Space group I4/mmm (No. 139)
One atom of each set of equivalent atoms:
Si 0.0000 0.0000 0.0000  8 Au 2.88
Au 0.0000 0.0000 0.3757  4 C 2.27
C 0.0000 0.5000 0.2500  4 Au 2.27, 4 C 2.53



[7]
Compound: SiAuC2
Source: Alexandria via LeMat-Bulk
Functional: GGA-PBE
Structure: optimized geometry

**Formation energy from raw total energies**: 950 meV/atom
**Total magnetic moment**: 0.0 μB/f.u.
**Crystal system**: tetragonal

abc: 4.7175 4.7175 9.0118
angles: 90.00 90.00 90.00
With the nearest neighbours (Å) after each atom.
Space group I-42d (No. 122)
One atom of each set of equivalent atoms:
Si 0.0000 0.0000 0.0000  4 C 1.88
Au 0.0000 0.0000 0.5000  4 C 2.17
C 0.1967 0.2500 0.1250  2 Si 1.88



[8]
Compound: SiSnAuC2
Source: Alexandria via LeMat-Bulk
Functional: GGA-PBE
Structure: optimized geometry

**Formation energy from raw total energies**: 1487 meV/atom
**Total magnetic moment**: 0.0 μB/f.u.
**Crystal system**: tetragonal

abc: 3.7717 3.7717 6.1845
angles: 90.00 90.00 90.00
With the nearest neighbours (Å) after each atom.
Space group P4/mmm (No. 123)
One atom of each set of equivalent atoms:
Si 0.0000 0.0000 0.0000  4 C 1.89
Sn 0.0000 0.0000 0.5000  4 Au 2.67
Au 0.5000 0.5000 0.5000  4 Sn 2.67
C 0.0000 0.5000 0.0000  2 Si 1.89



[9]
Compound: SiTcAuC
Source: Alexandria via LeMat-Bulk
Functional: GGA-PBE
Structure: optimized geometry

**Formation energy from raw total energies**: 354 meV/atom
**Total magnetic moment**: 0.0 μB/f.u.
**Crystal system**: triclinic

abc: 3.0228 3.9921 5.3314
angles: 98.86 106.15 112.22
With the nearest neighbours (Å) after each atom.
Space group P1 (No. 1)
One atom of each set of equivalent atoms:
Si 0.0000 0.0000 0.0000  2 C 2.11-2.12
Tc 0.4809 0.7063 0.2644  3 C 2.12-2.19
Au 0.0660 0.4088 0.6941  1 C 2.12
C 0.7826 0.2991 0.2646  2 Si 2.11-2.12, 1 Au 2.12, 3 Tc 2.12-2.19



[10]
Compound: SiTcAuC
Source: Alexandria via LeMat-Bulk
Functional: GGA-PBE
Structure: optimized geometry

**Formation energy from raw total energies**: 299 meV/atom
**Total magnetic moment**: 0.0 μB/f.u.
**Crystal system**: orthorhombic

abc: 2.8397 2.9354 6.4564
angles: 90.00 90.00 90.00
With the nearest neighbours (Å) after each atom.
Space group Pmm2 (No. 25)
One atom of each set of equivalent atoms:
Si 0.0000 0.0000 0.0000  2 C 1.95
Tc 0.0000 0.5000 0.3232  4 C 2.17
Au 0.5000 0.0000 0.6729  2 Si 2.54, 2 Au 2.84
C 0.5000 0.0000 0.2080  2 Si 1.95, 4 Tc 2.17



[11]
Compound: SiTcAuC
Source: Alexandria via LeMat-Bulk
Functional: GGA-PBE
Structure: optimized geometry

**Formation energy from raw total energies**: 275 meV/atom
**Total magnetic moment**: 0.0 μB/f.u.
**Crystal system**: trigonal

abc: 2.9051 2.9051 6.9836
angles: 90.00 90.00 120.00
With the nearest neighbours (Å) after each atom.
Space group P3m1 (No. 156)
One atom of each set of equivalent atoms:
Si 0.0000 0.0000 0.0000  3 C 2.00
Tc 0.0000 0.0000 0.6477  3 C 2.17
Au 0.6667 0.3333 0.2988  3 Si 2.68, 6 Au 2.91, 3 Tc 2.96
C 0.3333 0.6667 0.8448  3 Si 2.00, 3 Tc 2.17



[12]
Compound: SiTcAuC
Source: Alexandria via LeMat-Bulk
Functional: GGA-PBE
Structure: optimized geometry

**Formation energy from raw total energies**: 288 meV/atom
**Total magnetic moment**: 0.0 μB/f.u.
**Crystal system**: orthorhombic

abc: 2.8851 2.8899 6.7907
angles: 90.00 90.00 90.00
With the nearest neighbours (Å) after each atom.
Space group Pmm2 (No. 25)
One atom of each set of equivalent atoms:
Si 0.0000 0.0000 0.0000  2 Tc 2.44, 2 Au 2.48
Tc 0.5000 0.0000 0.7097  4 C 2.14
Au 0.0000 0.5000 0.2973  1 C 2.16
C 0.0000 0.5000 0.6158  4 Tc 2.14, 1 Au 2.16



[13]
Compound: SiTcAuC
Source: Alexandria via LeMat-Bulk
Functional: GGA-PBE
Structure: optimized geometry

**Formation energy from raw total energies**: 354 meV/atom
**Total magnetic moment**: 0.0 μB/f.u.
**Crystal system**: monoclinic

abc: 6.5415 3.0316 6.1736
angles: 90.00 90.91 90.00
With the nearest neighbours (Å) after each atom.
Space group Cm (No. 8)
One atom of each set of equivalent atoms:
Si 0.0000 0.0000 0.0000  2 C 2.04
Tc 0.3030 0.0000 0.2610  3 C 2.02-2.04
Au 0.4903 0.5000 0.6142  1 Si 2.38
C 0.1037 0.5000 0.1947  3 Tc 2.02-2.04, 2 Si 2.04



[14]
Compound: SiTcAuC
Source: Alexandria via LeMat-Bulk
Functional: GGA-PBE
Structure: optimized geometry

**Formation energy from raw total energies**: 372 meV/atom
**Total magnetic moment**: 0.0 μB/f.u.
**Crystal system**: monoclinic

abc: 6.7353 3.0266 6.6341
angles: 90.00 114.72 90.00
With the nearest neighbours (Å) after each atom.
Space group Cm (No. 8)
One atom of each set of equivalent atoms:
Si 0.0000 0.0000 0.0000  2 C 2.08
Tc 0.0937 0.5000 0.7437  3 C 2.04-2.05
Au 0.1599 0.0000 0.3918  1 Si 2.36, 1 C 2.42
C 0.3142 0.0000 0.7928  3 Tc 2.04-2.05, 2 Si 2.08



[15]
Compound: SiTcAuC
Source: Alexandria via LeMat-Bulk
Functional: GGA-PBE
Structure: optimized geometry

**Formation energy from raw total energies**: 441 meV/atom
**Total magnetic moment**: 0.0 μB/f.u.
**Crystal system**: orthorhombic

abc: 2.9178 4.6054 7.7986
angles: 90.00 90.00 90.00
With the nearest neighbours (Å) after each atom.
Space group Amm2 (No. 38)
One atom of each set of equivalent atoms:
Si 0.0000 0.0000 0.0000  2 C 1.93
Tc 0.0000 0.0000 0.3587  2 C 2.12
Au 0.5000 0.0000 0.6926  2 C 2.32
C 0.5000 0.0000 0.1611  2 Si 1.93, 2 Tc 2.12



[16]
Compound: SiTcAuC
Source: Alexandria via LeMat-Bulk
Functional: GGA-PBE
Structure: optimized geometry

**Formation energy from raw total energies**: 385 meV/atom
**Total magnetic moment**: 0.0 μB/f.u.
**Crystal system**: monoclinic

abc: 5.9198 3.4401 5.7794
angles: 90.00 90.60 90.00
With the nearest neighbours (Å) after each atom.
Space group Cm (No. 8)
One atom of each set of equivalent atoms:
Si 0.0000 0.0000 0.0000  1 C 1.91
Tc 0.3280 0.0000 0.3379  3 C 1.98
Au 0.1642 0.5000 0.7265  3 Si 2.53-2.54
C 0.4930 0.5000 0.3301  1 Si 1.91, 3 Tc 1.98



[17]
Compound: SiTcAuC
Source: Alexandria via LeMat-Bulk
Functional: GGA-PBE
Structure: optimized geometry

**Formation energy from raw total energies**: 237 meV/atom
**Total magnetic moment**: 0.0 μB/f.u.
**Crystal system**: orthorhombic

abc: 2.8551 2.9009 12.7234
angles: 90.00 90.00 90.00
With the nearest neighbours (Å) after each atom.
Space group Imm2 (No. 44)
One atom of each set of equivalent atoms:
Si 0.0000 0.0000 0.0000  2 C 1.92
Tc 0.0000 0.5000 0.1681  4 C 2.21
Au 0.0000 0.5000 0.8417  2 Si 2.48
C 0.0000 0.5000 0.6008  2 Si 1.92



[18]
Compound: SiTcAuC
Source: Alexandria via LeMat-Bulk
Functional: GGA-PBE
Structure: optimized geometry

**Formation energy from raw total energies**: 256 meV/atom
**Total magnetic moment**: 0.0 μB/f.u.
**Crystal system**: trigonal

abc: 2.8890 2.8890 21.9923
angles: 90.00 90.00 120.00
With the nearest neighbours (Å) after each atom.
Space group R3m (No. 160, hexagonal axes)
One atom of each set of equivalent atoms:
Si 0.0000 0.0000 0.0000  3 C 1.97
Tc 0.0000 0.0000 0.8879  3 C 2.19
Au 0.0000 0.0000 0.1123  1 Si 2.47
C 0.0000 0.0000 0.6190  3 Si 1.97, 3 Tc 2.19



[19]
Compound: SiTcAuC
Source: Alexandria via LeMat-Bulk
Functional: GGA-PBE
Structure: optimized geometry

**Formation energy from raw total energies**: 303 meV/atom
**Total magnetic moment**: 0.0 μB/f.u.
**Crystal system**: tetragonal

abc: 2.8567 2.8567 6.9484
angles: 90.00 90.00 90.00
With the nearest neighbours (Å) after each atom.
Space group P4mm (No. 99)
One atom of each set of equivalent atoms:
Si 0.0000 0.0000 0.0000  1 C 2.40, 1 Au 2.40, 4 Tc 2.61
Tc 0.5000 0.5000 0.2387  4 C 2.15
Au 0.0000 0.0000 0.6539  1 C 2.14
C 0.0000 0.0000 0.3456  1 Au 2.14, 4 Tc 2.15



[20]
Compound: SiTcAuC
Source: Alexandria via LeMat-Bulk
Functional: GGA-PBE
Structure: optimized geometry

**Formation energy from raw total energies**: 337 meV/atom
**Total magnetic moment**: 0.0 μB/f.u.
**Crystal system**: trigonal

abc: 2.8954 2.8954 21.0693
angles: 90.00 90.00 120.00
With the nearest neighbours (Å) after each atom.
Space group R3m (No. 160, hexagonal axes)
One atom of each set of equivalent atoms:
Si 0.0000 0.0000 0.0000  3 C 1.94
Tc 0.0000 0.0000 0.5516  3 C 2.20
Au 0.0000 0.0000 0.7708  3 Si 2.76, 6 Au 2.90, 3 Tc 2.93
C 0.0000 0.0000 0.2862  3 Si 1.94